Here is a relaxed structure of LiMnCr2O6 from the Alexandria database. Energies are from PBE with a Hubbard U.

Cell lengths 6.595, 6.595, 5.969 Å; angles 76.97, 76.97, 25.64 degrees
Site moments in Bohr magnetons follow the coordinates.
Fractional positions:
Li 0.333 0.333 0.836  0.00
Mn 0.663 0.663 0.654  3.27
Cr 0.333 0.333 0.332  2.98
Cr 0.008 0.008 0.014  2.24
O 0.172 0.172 0.440  -0.12
O 0.851 0.851 0.093  -0.05
O 0.162 0.162 0.874  -0.09
O 0.817 0.817 0.571  -0.08
O 0.494 0.494 0.223  -0.13
O 0.508 0.508 0.787  -0.09

Calculated values
* DFT total energy: -7.088 eV/atom
* magnetization: 8.00 μB per cell